Entry 1:
# Zr2Sc2Au PBE relaxed
# **E above lowest polymorph**: 0.00 eV per formula unit
# **V**: 228.8 Å³ per cell
# **Total moment**: 0.00 μB per formula unit
# **Energy relative to the elements**: -0.064 eV/atom
data_Zr2Sc2Au
_cell_length_a 7.088
_cell_length_b 7.088
_cell_length_c 4.555
_cell_angle_alpha 90.00
_cell_angle_beta 90.00
_cell_angle_gamma 90.00
_space_group_name_H-M_alt 'P 4/m b m'
_space_group_IT_number 127
_space_group_name_Hall '-P 4 2ab'
loop_
_atom_site_label
_atom_site_type_symbol
_atom_site_fract_x
_atom_site_fract_y
_atom_site_fract_z
Zr1 Zr 0.150 0.350 0.000
Sc1 Sc 0.150 0.650 0.500
Au1 Au 0.000 0.000 0.500

***

Entry 2:
# Zr2ScAu3 PBE relaxed
# **V**: 481.2 Å³ per cell
# **Total moment**: 0.18 μB per formula unit
# **Energy relative to the elements**: -0.569 eV/atom
data_Zr2ScAu3
_cell_length_a 4.725
_cell_length_b 14.200
_cell_length_c 7.171
_cell_angle_alpha 90.00
_cell_angle_beta 90.00
_cell_angle_gamma 90.00
_space_group_name_H-M_alt 'C m m m'
_space_group_IT_number 65
_space_group_name_Hall '-C 2 2'
loop_
_atom_site_label
_atom_site_type_symbol
_atom_site_fract_x
_atom_site_fract_y
_atom_site_fract_z
Zr1 Zr 0.000 0.000 0.000
Zr2 Zr 0.000 0.000 0.500
Zr3 Zr 0.000 0.333 0.000
Sc1 Sc 0.000 0.334 0.500
Au1 Au 0.000 0.169 0.266
Au2 Au 0.000 0.500 0.261

***

Entry 3:
# ZrSc2Au PBE relaxed
# **E above lowest polymorph**: 0.34 eV per formula unit
# **V**: 168.7 Å³ per cell
# **Total moment**: 0.04 μB per formula unit
# **Energy relative to the elements**: -0.263 eV/atom
data_ZrSc2Au
_cell_length_a 4.232
_cell_length_b 4.232
_cell_length_c 9.423
_cell_angle_alpha 90.00
_cell_angle_beta 90.00
_cell_angle_gamma 90.00
_space_group_name_H-M_alt 'I -4 m 2'
_space_group_IT_number 119
_space_group_name_Hall 'I -4 -2'
loop_
_atom_site_label
_atom_site_type_symbol
_atom_site_fract_x
_atom_site_fract_y
_atom_site_fract_z
Zr1 Zr 0.000 0.000 0.000
Sc1 Sc 0.000 0.000 0.500
Sc2 Sc 0.000 0.500 0.250
Au1 Au 0.000 0.500 0.750

***

Entry 4:
# ZrScAu PBE relaxed
# **E above lowest polymorph**: 1.29 eV per formula unit
# **V**: 119.3 Å³ per cell
# **Total moment**: 0.00 μB per formula unit
# **Energy relative to the elements**: -0.041 eV/atom
data_ZrScAu
_cell_length_a 4.8808
_cell_length_b 4.8808
_cell_length_c 5.7837
_cell_angle_alpha 90.00
_cell_angle_beta 90.00
_cell_angle_gamma 120.00
_space_group_name_H-M_alt 'P 63/m m c'
_space_group_IT_number 194
_space_group_name_Hall '-P 6c 2c'
loop_
_atom_site_label
_atom_site_type_symbol
_atom_site_fract_x
_atom_site_fract_y
_atom_site_fract_z
Zr1 Zr 0.3333 0.6667 0.2500
Sc1 Sc 0.3333 0.6667 0.7500
Au1 Au 0.0000 0.0000 0.0000

***

Entry 5:
# ZrScAu PBE relaxed
# **E above lowest polymorph**: 0.19 eV per formula unit
# **V**: 257.6 Å³ per cell
# **Total moment**: 0.00 μB per formula unit
# **Energy relative to the elements**: -0.411 eV/atom
data_ZrScAu
_cell_length_a 12.189
_cell_length_b 3.402
_cell_length_c 6.442
_cell_angle_alpha 90.00
_cell_angle_beta 105.35
_cell_angle_gamma 90.00
_space_group_name_H-M_alt 'C 1 m 1'
_space_group_IT_number 8
_space_group_name_Hall 'C -2y'
loop_
_atom_site_label
_atom_site_type_symbol
_atom_site_fract_x
_atom_site_fract_y
_atom_site_fract_z
Zr1 Zr 0.000 0.000 0.000
Zr2 Zr 0.163 0.500 0.348
Sc1 Sc 0.289 0.000 0.076
Sc2 Sc 0.458 0.500 0.463
Au1 Au 0.130 0.500 0.785
Au2 Au 0.327 0.000 0.651

***

Entry 6:
# ZrScAu PBE relaxed
# **E above lowest polymorph**: 0.07 eV per formula unit
# **V**: 127.4 Å³ per cell
# **Total moment**: 0.07 μB per formula unit
# **Energy relative to the elements**: -0.449 eV/atom
data_ZrScAu
_cell_length_a 3.322
_cell_length_b 6.224
_cell_length_c 6.671
_cell_angle_alpha 74.06
_cell_angle_beta 90.00
_cell_angle_gamma 74.53
_space_group_name_H-M_alt 'P -1'
_space_group_IT_number 2
_space_group_name_Hall '-P 1'
loop_
_atom_site_label
_atom_site_type_symbol
_atom_site_fract_x
_atom_site_fract_y
_atom_site_fract_z
Zr1 Zr 0.162 0.177 0.331
Sc1 Sc 0.155 0.190 0.826
Au1 Au 0.500 0.500 0.000
Au2 Au 0.500 0.500 0.500

***

Entry 7:
# ZrSc2Au PBE relaxed
# **E above lowest polymorph**: 0.35 eV per formula unit
# **V**: 84.2 Å³ per cell
# **Total moment**: 0.00 μB per formula unit
# **Energy relative to the elements**: -0.261 eV/atom
data_ZrSc2Au
_cell_length_a 4.941
_cell_length_b 4.941
_cell_length_c 3.447
_cell_angle_alpha 90.00
_cell_angle_beta 90.00
_cell_angle_gamma 90.00
_space_group_name_H-M_alt 'P 4/m m m'
_space_group_IT_number 123
_space_group_name_Hall '-P 4 2'
loop_
_atom_site_label
_atom_site_type_symbol
_atom_site_fract_x
_atom_site_fract_y
_atom_site_fract_z
Zr1 Zr 0.000 0.000 0.000
Sc1 Sc 0.000 0.500 0.500
Au1 Au 0.500 0.500 0.000

***

Entry 8:
# ZrSc2Au PBE relaxed
# **E above lowest polymorph**: 0.45 eV per formula unit
# **V**: 169.1 Å³ per cell
# **Total moment**: 1.05 μB per formula unit
# **Energy relative to the elements**: -0.237 eV/atom
data_ZrSc2Au
_cell_length_a 4.317
_cell_length_b 4.317
_cell_length_c 9.071
_cell_angle_alpha 90.00
_cell_angle_beta 90.00
_cell_angle_gamma 90.00
_space_group_name_H-M_alt 'I 4/m m m'
_space_group_IT_number 139
_space_group_name_Hall '-I 4 2'
loop_
_atom_site_label
_atom_site_type_symbol
_atom_site_fract_x
_atom_site_fract_y
_atom_site_fract_z
Zr1 Zr 0.000 0.000 0.000
Sc1 Sc 0.000 0.500 0.250
Au1 Au 0.000 0.000 0.500

***

Entry 9:
# ZrScAu PBE relaxed
# **E above lowest polymorph**: 0.22 eV per formula unit
# **V**: 256.1 Å³ per cell
# **Total moment**: 0.00 μB per formula unit
# **Energy relative to the elements**: -0.399 eV/atom
data_ZrScAu
_cell_length_a 10.524
_cell_length_b 4.730
_cell_length_c 6.177
_cell_angle_alpha 90.00
_cell_angle_beta 123.62
_cell_angle_gamma 90.00
_space_group_name_H-M_alt 'C 1 m 1'
_space_group_IT_number 8
_space_group_name_Hall 'C -2y'
loop_
_atom_site_label
_atom_site_type_symbol
_atom_site_fract_x
_atom_site_fract_y
_atom_site_fract_z
Zr1 Zr 0.000 0.000 0.000
Zr2 Zr 0.211 0.500 0.050
Sc1 Sc 0.116 0.500 0.443
Sc2 Sc 0.332 0.000 0.490
Au1 Au 0.002 0.000 0.546
Au2 Au 0.326 0.000 0.937

***

Entry 10:
# ZrSc2Au PBE relaxed
# **E above lowest polymorph**: 0.46 eV per formula unit
# **V**: 267.1 Å³ per cell
# **Total moment**: 0.00 μB per formula unit
# **Energy relative to the elements**: -0.234 eV/atom
data_ZrSc2Au
_cell_length_a 3.2829
_cell_length_b 3.2829
_cell_length_c 28.6138
_cell_angle_alpha 90.00
_cell_angle_beta 90.00
_cell_angle_gamma 120.00
_space_group_name_H-M_alt 'R -3 m'
_space_group_IT_number 166
_space_group_name_Hall '-R 3 2"'
loop_
_atom_site_label
_atom_site_type_symbol
_atom_site_fract_x
_atom_site_fract_y
_atom_site_fract_z
Zr1 Zr 0.0000 0.0000 0.0000
Sc1 Sc 0.0000 0.0000 0.2439
Au1 Au 0.0000 0.0000 0.5000

***

Entry 11:
# Zr2Sc2Au PBE relaxed
# **E above lowest polymorph**: 0.30 eV per formula unit
# **V**: 238.2 Å³ per cell
# **Total moment**: 0.00 μB per formula unit
# **Energy relative to the elements**: -0.004 eV/atom
data_Zr2Sc2Au
_cell_length_a 7.181
_cell_length_b 7.181
_cell_length_c 4.620
_cell_angle_alpha 90.00
_cell_angle_beta 90.00
_cell_angle_gamma 90.00
_space_group_name_H-M_alt 'P 4/m b m'
_space_group_IT_number 127
_space_group_name_Hall '-P 4 2ab'
loop_
_atom_site_label
_atom_site_type_symbol
_atom_site_fract_x
_atom_site_fract_y
_atom_site_fract_z
Zr1 Zr 0.144 0.356 0.000
Sc1 Sc 0.154 0.654 0.500
Au1 Au 0.000 0.000 0.000

***

Entry 12:
# ZrSc2Au2 PBE relaxed
# **E above lowest polymorph**: 0.00 eV per formula unit
# **V**: 209.3 Å³ per cell
# **Total moment**: 0.00 μB per formula unit
# **Energy relative to the elements**: -0.581 eV/atom
data_ZrSc2Au2
_cell_length_a 7.842
_cell_length_b 7.842
_cell_length_c 3.404
_cell_angle_alpha 90.00
_cell_angle_beta 90.00
_cell_angle_gamma 90.00
_space_group_name_H-M_alt 'P 4/m b m'
_space_group_IT_number 127
_space_group_name_Hall '-P 4 2ab'
loop_
_atom_site_label
_atom_site_type_symbol
_atom_site_fract_x
_atom_site_fract_y
_atom_site_fract_z
Zr1 Zr 0.000 0.000 0.000
Sc1 Sc 0.165 0.335 0.500
Au1 Au 0.133 0.633 0.000

***

Entry 13:
# ZrSc2Au PBE relaxed
# **E above lowest polymorph**: 0.19 eV per formula unit
# **V**: 84.2 Å³ per cell
# **Total moment**: 0.00 μB per formula unit
# **Energy relative to the elements**: -0.302 eV/atom
data_ZrSc2Au
_cell_length_a 4.434
_cell_length_b 4.434
_cell_length_c 4.281
_cell_angle_alpha 90.00
_cell_angle_beta 90.00
_cell_angle_gamma 90.00
_space_group_name_H-M_alt 'P 4/m m m'
_space_group_IT_number 123
_space_group_name_Hall '-P 4 2'
loop_
_atom_site_label
_atom_site_type_symbol
_atom_site_fract_x
_atom_site_fract_y
_atom_site_fract_z
Zr1 Zr 0.000 0.000 0.000
Sc1 Sc 0.000 0.500 0.500
Au1 Au 0.500 0.500 0.000